Computed, not measured: a geometry-optimized KBaOs3 structure at the GGA-PBE level of DFT.

Structure (POSCAR):
```
KBaOs3
1.0
5.276 0.000 0.000
0.000 5.276 0.000
0.000 0.000 5.276
Ba Os K
1 3 1
Cartesian
0.000 0.000 0.000
2.638 0.000 0.000
0.000 0.000 2.638
0.000 2.638 0.000
2.638 2.638 2.638
```

Summary:
N(E_F)   5.2 states/eV per cell
Total DFT energy (no corrections)   -0.297 Ry/atom
Density   8.45 g/cm3
Energy of formation   3.296 eV per atom
E above lowest polymorph   0.030 eV per atom